Record 1
The following is a PBE calculation of a relaxed structure of SmAl11, from the Alexandria database.

Output
- symmetry = I4_1/amd (141)

Lattice parameters (Å, degrees): 8.580 8.580 8.580 100.26 100.26 130.07
Sites, in units of the cell vectors:
Sm (0.375, 0.625, 0.750)
Sm (0.625, 0.375, 0.250)
Al (0.000, 0.000, 0.000)
Al (0.000, 0.000, 0.500)
Al (0.000, 0.500, 0.000)
Al (0.125, 0.875, 0.250)
Al (0.135, 0.557, 0.335)
Al (0.135, 0.800, 0.578)
Al (0.200, 0.278, 0.335)
Al (0.200, 0.865, 0.922)
Al (0.278, 0.200, 0.835)
Al (0.278, 0.443, 0.078)
Al (0.443, 0.278, 0.578)
Al (0.443, 0.865, 0.165)
Al (0.500, 0.000, 0.500)
Al (0.557, 0.135, 0.835)
Al (0.557, 0.722, 0.422)
Al (0.722, 0.557, 0.922)
Al (0.722, 0.800, 0.165)
Al (0.800, 0.135, 0.078)
Al (0.800, 0.722, 0.665)
Al (0.865, 0.200, 0.422)
Al (0.865, 0.443, 0.665)
Al (0.875, 0.125, 0.750)

Record 2
The following is a PBE calculation of a relaxed structure of La6CdAg5, from the Alexandria database.

Output
- symmetry = P2/m (10)

Lattice parameters (Å, degrees): 5.464 7.596 8.646 90.00 108.46 90.00
Sites, in units of the cell vectors:
La (0.000, 0.241, 0.000)
La (0.000, 0.759, 0.000)
La (0.331, 0.249, 0.660)
La (0.331, 0.751, 0.660)
La (0.669, 0.249, 0.340)
La (0.669, 0.751, 0.340)
Cd (0.500, 0.500, 0.000)
Ag (0.158, 0.500, 0.320)
Ag (0.164, 0.000, 0.332)
Ag (0.500, 0.000, 0.000)
Ag (0.836, 0.000, 0.668)
Ag (0.842, 0.500, 0.680)

Formation enthalpy at 0 K: -0.070 -0.269 (eV per atom)